CaYIn2C | PBE-GGA | relaxed

Lattice parameters (Å, degrees): 4.950 4.950 4.788 90.00 90.00 90.00
Space group P4/mmm (No. 123)
Asymmetric unit:
1 Ca 0.000 0.000 0.000 [1 per cell]
2 Y 0.500 0.500 0.000 [1 per cell]
3 In 0.000 0.500 0.500 [2 per cell]
4 C 0.000 0.000 0.500 [1 per cell]

- density of states at the Fermi level (states/eV/cell) = 2.2
- crystal system = tetragonal
- total energy (eV per atom) = -4.24